PRuPb2 | GGA-PBE | optimized geometry

Geometry as POSCAR:
```
PRuPb2
1.0
0.000 3.476 3.476
3.476 0.000 3.476
3.476 3.476 0.000
P Ru Pb
1 1 2
Direct
0.500 0.500 0.500
0.250 0.250 0.250
0.000 0.000 0.000
0.750 0.750 0.750
```

Properties
* formation enthalpy at 0 K: 682.4 meV/atom
* space-group type: F-43m

---

PRuPb2 | GGA-PBE | optimized geometry

Geometry as POSCAR:
```
PRuPb2
1.0
2.444 -2.373 -3.821
4.299 -1.428 2.384
-4.783 -0.927 1.571
P Ru Pb
1 1 2
Direct
0.750 0.250 0.500
0.500 0.500 0.000
0.000 0.000 0.000
0.250 0.750 0.500
```

Properties
* formation enthalpy at 0 K: 677.2 meV/atom
* space-group type: I-4m2